## Sc2CoRh2 (GGA-PBE)

Data for a geometry-optimized Sc2CoRh2 structure.

The space group is P4/mbm (No. 127) and the conventional cell measures 6.5842, 6.5842 and 3.8947 Å, with angles of 90.00, 90.00 and 90.00 degrees. The distinct sites, in fractional coordinates, are Sc at (0.1734, 0.3266, 0.0000), Co at (0.0000, 0.0000, 0.5000) and Rh at (0.1413, 0.6413, 0.5000).

The value obtained for the density of states at the Fermi level is 7.27 states/eV/cell. Its crystal system is tetragonal. The value obtained for the volume is 16.88 Å³ per atom. As for the calculated formation energy: -0.5241 eV/atom.

---

## ScCoRh (GGA-PBE)

Data for a geometry-optimized ScCoRh structure.

The space group is F-43m (No. 216) and the conventional cell measures 5.9245, 5.9245 and 5.9245 Å, with angles of 90.00, 90.00 and 90.00 degrees. The distinct sites, in fractional coordinates, are Sc at (0.0000, 0.0000, 0.0000), Co at (0.2500, 0.2500, 0.2500) and Rh at (0.2500, 0.2500, 0.7500).

Its energy above the most stable polymorph in this dataset is 0.610 eV/atom. The value obtained for the density of states at the Fermi level is 21.81 states/eV/cell. Its crystal system is cubic. The value obtained for the volume is 17.33 Å³ per atom. As for the calculated formation energy: 0.2678 eV/atom.

---

## Sc2CoRh (GGA-PBE)

Data for a geometry-optimized Sc2CoRh structure.

The space group is P2/m (No. 10) and the conventional cell measures 4.3979, 3.1119 and 5.2899 Å, with angles of 90.00, 110.91 and 90.00 degrees. The distinct sites, in fractional coordinates, are Sc at (0.0000, 0.0000, 0.0000), Sc at (0.5000, 0.5000, 0.5000), Co at (0.0000, 0.0000, 0.5000) and Rh at (0.5000, 0.5000, 0.0000).

The value obtained for the density of states at the Fermi level is 4.07 states/eV/cell. Its crystal system is monoclinic. The value obtained for the volume is 16.91 Å³ per atom. As for the calculated formation energy: -0.2678 eV/atom.

---

## Sc5CoRh2 (GGA-PBE)

Data for a geometry-optimized Sc5CoRh2 structure.

The space group is Pbam (No. 55) and the conventional cell measures 5.8016, 11.0515 and 4.5179 Å, with angles of 90.00, 90.00 and 90.00 degrees. The distinct sites, in fractional coordinates, are Sc at (0.0000, 0.0000, 0.0000), Sc at (0.1465, 0.2831, 0.0000), Sc at (0.1675, 0.6114, 0.5000), Co at (0.0000, 0.5000, 0.0000) and Rh at (0.1623, 0.8783, 0.5000).

The value obtained for the density of states at the Fermi level is 7.62 states/eV/cell. Its crystal system is orthorhombic. The value obtained for the volume is 18.10 Å³ per atom. As for the calculated formation energy: -0.6116 eV/atom.

---

## ScCoRh (GGA-PBE)

Data for a geometry-optimized ScCoRh structure.

The space group is I4mm (No. 107) and the conventional cell measures 3.1626, 3.1626 and 9.1066 Å, with angles of 90.00, 90.00 and 90.00 degrees. The distinct sites, in fractional coordinates, are Sc at (0.0000, 0.0000, 0.0000), Co at (0.0000, 0.0000, 0.3289) and Rh at (0.0000, 0.0000, 0.6745).

Its energy above the most stable polymorph in this dataset is 0.034 eV/atom. The value obtained for the density of states at the Fermi level is 7.72 states/eV/cell. Its crystal system is tetragonal. The value obtained for the volume is 15.18 Å³ per atom. As for the calculated formation energy: -0.3085 eV/atom.

---

## Sc2CoRh (GGA-PBE)

Data for a geometry-optimized Sc2CoRh structure.

The space group is I-4m2 (No. 119) and the conventional cell measures 3.7190, 3.7190 and 9.4615 Å, with angles of 90.00, 90.00 and 90.00 degrees. The distinct sites, in fractional coordinates, are Sc at (0.0000, 0.0000, 0.0000), Sc at (0.0000, 0.5000, 0.2500), Co at (0.0000, 0.5000, 0.7500) and Rh at (0.0000, 0.0000, 0.5000).

The value obtained for the density of states at the Fermi level is 7.60 states/eV/cell. Its crystal system is tetragonal. The value obtained for the volume is 16.36 Å³ per atom. As for the calculated formation energy: -0.4567 eV/atom.